1.
Ac3Y2TaN6: relaxed, PBE.

a = 6.1323 Å, b = 6.1323 Å, c = 6.3642 Å
α = 99.18°, β = 99.18°, γ = 119.97°
Atoms (fractional coordinates):
1 Ta 0.0000 0.0000 0.0000
2 N 0.3688 0.0681 0.2027
3 N 0.6312 0.9319 0.7973
4 N 0.0681 0.3688 0.2027
5 N 0.2323 0.2323 0.7892
6 N 0.9319 0.6312 0.7973
7 N 0.7677 0.7677 0.2108
8 Ac 0.5000 0.5000 0.5000
9 Ac 0.8323 0.1677 0.5000
10 Ac 0.1677 0.8323 0.5000
11 Y 0.6669 0.3331 0.0000
12 Y 0.3331 0.6669 0.0000

The calculation puts the volume at 196.5 Å³/f.u. The value obtained for the formation energy from raw total energies is -1223 meV per atom. The value obtained for the total energy is -8.4781 eV per atom.

=====

2.
AcYTaN3: relaxed, PBE.

a = 3.4689 Å, b = 9.4651 Å, c = 7.1527 Å
α = 94.27°, β = 90.00°, γ = 90.00°
Atoms (fractional coordinates):
1 Ac 0.7500 0.7947 0.8483
2 Ac 0.2500 0.2053 0.1517
3 N 0.7500 0.7477 0.1953
4 N 0.2500 0.6001 0.8662
5 N 0.2500 0.8738 0.5591
6 N 0.7500 0.3999 0.1338
7 N 0.7500 0.1262 0.4409
8 N 0.2500 0.2523 0.8047
9 Y 0.2500 0.5808 0.1843
10 Y 0.7500 0.4192 0.8157
11 Ta 0.2500 0.1137 0.6005
12 Ta 0.7500 0.8863 0.3995

The calculation puts the volume at 117.1 Å³/f.u. The value obtained for the formation energy from raw total energies is -1077 meV per atom. The value obtained for the total energy is -8.9774 eV per atom.

=====

3.
Ac2TaZn2N6: relaxed, PBE.

a = 5.9275 Å, b = 5.9275 Å, c = 6.4542 Å
α = 62.66°, β = 62.66°, γ = 60.00°
Atoms (fractional coordinates):
1 N 0.7647 0.2175 0.2530
2 N 0.2353 0.7825 0.7470
3 N 0.7825 0.2353 0.7470
4 N 0.2175 0.7647 0.2530
5 N 0.7647 0.7647 0.2530
6 N 0.2353 0.2353 0.7470
7 Ac 0.2171 0.2171 0.3487
8 Ac 0.7829 0.7829 0.6513
9 Zn 0.4194 0.4194 0.7417
10 Zn 0.5806 0.5806 0.2583
11 Ta 0.0000 0.0000 0.0000

The calculation puts the volume at 166.5 Å³/f.u. The value obtained for the formation energy from raw total energies is -340 meV per atom. The value obtained for the total energy is -6.9369 eV per atom.

=====

4.
AcZrTaN3: relaxed, PBE.

a = 3.3849 Å, b = 5.9439 Å, c = 8.6902 Å
α = 103.73°, β = 90.00°, γ = 90.00°
Atoms (fractional coordinates):
1 Ta 0.2500 0.1195 0.6411
2 Ta 0.7500 0.8805 0.3589
3 N 0.2500 0.4270 0.8440
4 N 0.2500 0.7773 0.4814
5 N 0.2500 0.9699 0.8473
6 N 0.7500 0.2227 0.5186
7 N 0.7500 0.5730 0.1560
8 N 0.7500 0.0301 0.1527
9 Zr 0.2500 0.7683 0.0485
10 Zr 0.7500 0.2317 0.9515
11 Ac 0.7500 0.6420 0.6915
12 Ac 0.2500 0.3580 0.3085

The calculation puts the volume at 84.9 Å³/f.u. The value obtained for the formation energy from raw total energies is -1269 meV per atom. The value obtained for the total energy is -9.5167 eV per atom.

=====

5.
AcTbN2: relaxed, PBE.

a = 3.6917 Å, b = 3.6917 Å, c = 6.4680 Å
α = 73.42°, β = 73.42°, γ = 60.00°
Atoms (fractional coordinates):
1 Tb 0.0000 0.0000 0.0000
2 N 0.2574 0.2574 0.2278
3 N 0.7426 0.7426 0.7722
4 Ac 0.5000 0.5000 0.5000

The calculation puts the volume at 72.1 Å³/f.u. The calculation puts the energy above the most stable polymorph in this dataset at 0.00 eV/f.u. The value obtained for the formation energy from raw total energies is -1276 meV per atom. The value obtained for the total energy is -7.6231 eV per atom.

=====

6.
AcTb3N: relaxed, PBE.

a = 5.0753 Å, b = 5.0753 Å, c = 5.0753 Å
α = 90.00°, β = 90.00°, γ = 90.00°
Atoms (fractional coordinates):
1 Ac 0.5000 0.5000 0.5000
2 N 0.0000 0.0000 0.0000
3 Tb 0.0000 0.5000 0.0000
4 Tb 0.5000 0.0000 0.0000
5 Tb 0.0000 0.0000 0.5000

The calculation puts the volume at 130.7 Å³/f.u. The value obtained for the formation energy from raw total energies is -408 meV per atom. The value obtained for the total energy is -5.6732 eV per atom.

=====

7.
AcTbN2: relaxed, PBE.

a = 3.6198 Å, b = 3.6198 Å, c = 6.6996 Å
α = 74.33°, β = 74.33°, γ = 60.00°
Atoms (fractional coordinates):
1 N 0.0833 0.0833 0.7501
2 N 0.2381 0.2381 0.2857
3 Tb 0.5044 0.5044 0.4869
4 Ac 0.6742 0.6742 0.9773

The calculation puts the volume at 72.2 Å³/f.u. The calculation puts the energy above the most stable polymorph in this dataset at 0.83 eV/f.u. The value obtained for the formation energy from raw total energies is -1068 meV per atom. The value obtained for the total energy is -7.4157 eV per atom.

=====

8.
AcTbN2: relaxed, PBE.

a = 3.6079 Å, b = 3.6077 Å, c = 6.3947 Å
α = 90.02°, β = 90.01°, γ = 120.00°
Atoms (fractional coordinates):
1 N 0.3333 0.1667 0.2295
2 N 0.6667 0.8333 0.7705
3 Ac 0.0000 0.5000 0.5000
4 Tb 0.0000 0.5000 0.0000

The calculation puts the volume at 72.1 Å³/f.u. The calculation puts the energy above the most stable polymorph in this dataset at 1.17 eV/f.u. The value obtained for the formation energy from raw total energies is -982 meV per atom. The value obtained for the total energy is -7.3295 eV per atom.

=====

9.
Ac2TbTc2N6: relaxed, PBE.

a = 5.8734 Å, b = 5.8734 Å, c = 7.0511 Å
α = 65.39°, β = 65.39°, γ = 60.00°
Atoms (fractional coordinates):
1 N 0.2574 0.7679 0.7174
2 N 0.2321 0.7426 0.2826
3 N 0.7426 0.7426 0.2826
4 N 0.2574 0.2574 0.7174
5 N 0.7426 0.2321 0.2826
6 N 0.7679 0.2574 0.7174
7 Tc 0.4004 0.4004 0.7989
8 Tc 0.5996 0.5996 0.2011
9 Ac 0.7883 0.7883 0.6352
10 Ac 0.2117 0.2117 0.3648
11 Tb 0.0000 0.0000 0.0000

The calculation puts the volume at 184.7 Å³/f.u. The value obtained for the formation energy from raw total energies is -708 meV per atom. The value obtained for the total energy is -8.3016 eV per atom.

=====

10.
Ac3TbTc2N6: relaxed, PBE.

a = 6.0717 Å, b = 6.0717 Å, c = 6.9389 Å
α = 90.00°, β = 90.00°, γ = 120.00°
Atoms (fractional coordinates):
1 N 0.8291 0.6582 0.7106
2 N 0.1709 0.8291 0.2894
3 N 0.3418 0.1709 0.7106
4 N 0.8291 0.1709 0.7106
5 N 0.1709 0.3418 0.2894
6 N 0.6582 0.8291 0.2894
7 Tc 0.3333 0.6667 0.1899
8 Tc 0.6667 0.3333 0.8101
9 Ac 0.6667 0.3333 0.3173
10 Ac 0.0000 0.0000 0.0000
11 Ac 0.3333 0.6667 0.6827
12 Tb 0.0000 0.0000 0.5000

The calculation puts the volume at 221.5 Å³/f.u. The value obtained for the formation energy from raw total energies is -778 meV per atom. The value obtained for the total energy is -8.0810 eV per atom.

=====

11.
AcTbTh2N4: relaxed, PBE.

a = 3.6894 Å, b = 6.3629 Å, c = 6.4124 Å
α = 70.51°, β = 90.00°, γ = 90.00°
Atoms (fractional coordinates):
1 N 0.5000 0.2261 0.7690
2 N 0.0000 0.7616 0.7572
3 N 0.5000 0.7739 0.2310
4 N 0.0000 0.2384 0.2428
5 Th 0.5000 0.0000 0.5000
6 Th 0.0000 0.0000 0.0000
7 Ac 0.0000 0.5000 0.5000
8 Tb 0.5000 0.5000 0.0000

The calculation puts the volume at 141.9 Å³/f.u. The value obtained for the formation energy from raw total energies is -1442 meV per atom. The value obtained for the total energy is -8.5522 eV per atom.

=====

12.
AcTbTiN3: relaxed, PBE.

a = 3.6445 Å, b = 7.5832 Å, c = 7.8535 Å
α = 101.39°, β = 90.00°, γ = 90.00°
Atoms (fractional coordinates):
1 N 0.2500 0.1147 0.8477
2 N 0.7500 0.8853 0.1523
3 N 0.2500 0.5824 0.8590
4 N 0.2500 0.8360 0.4744
5 N 0.7500 0.1640 0.5256
6 N 0.7500 0.4176 0.1410
7 Tb 0.7500 0.3622 0.8444
8 Tb 0.2500 0.6378 0.1556
9 Ac 0.7500 0.8160 0.8120
10 Ac 0.2500 0.1840 0.1880
11 Ti 0.7500 0.8992 0.3991
12 Ti 0.2500 0.1008 0.6009

The calculation puts the volume at 106.4 Å³/f.u. The value obtained for the formation energy from raw total energies is -1269 meV per atom. The value obtained for the total energy is -8.2036 eV per atom.